# 1
Computed, not measured: a relaxed Mg2As crystal at the PBEsol level of DFT.

Unit cell a=5.3165 b=5.3165 c=5.3165 alpha=142.54 beta=138.58 gamma=57.07
Fractional positions:
Mg: 0.1535 0.1535 0.0000
Mg: 0.8465 0.8465 0.0000
As: 0.5000 0.5000 0.0000

Properties
Space-group type: No. 71
Formation energy, eV per atom: -0.171

=====

# 2
Computed, not measured: a relaxed CaY2AsO crystal at the PBEsol level of DFT.

Unit cell a=4.4258 b=4.4258 c=6.1140 alpha=90.00 beta=90.00 gamma=90.00
Fractional positions:
Ca: 0.0000 0.0000 0.0000
Y: 0.0000 0.5000 0.5000
Y: 0.5000 0.0000 0.5000
As: 0.5000 0.5000 0.0000
O: 0.5000 0.5000 0.5000

Properties
Space-group type: No. 123
Uncorrected formation energy, eV/f.u.: -6.238

=====

# 3
Computed, not measured: a relaxed ZrSc2TcO crystal at the PBEsol level of DFT.

Unit cell a=4.9228 b=4.9228 c=4.8171 alpha=90.00 beta=90.00 gamma=90.00
Fractional positions:
Zr: 0.0000 0.0000 0.0000
Sc: 0.0000 0.5000 0.5000
Sc: 0.5000 0.0000 0.5000
Tc: 0.0000 0.0000 0.5000
O: 0.5000 0.5000 0.0000

Properties
Space-group type: No. 123
Uncorrected formation energy, eV/f.u.: 2.788

=====

# 4
Computed, not measured: a relaxed ThSi3Ir crystal at the PBEsol level of DFT.

Unit cell a=5.6865 b=5.6865 c=5.6865 alpha=136.22 beta=136.22 gamma=63.64
Fractional positions:
Th: 0.0000 0.0000 0.0000
Si: 0.2359 0.7359 0.5000
Si: 0.5908 0.5908 0.0000
Si: 0.7359 0.2359 0.5000
Ir: 0.3466 0.3466 0.0000

Properties
Space-group type: No. 107
Uncorrected formation energy, eV/f.u.: -4.460

=====

# 5
Computed, not measured: a relaxed TaInTe2 crystal at the PBEsol level of DFT.

Unit cell a=3.5093 b=3.5093 c=7.6958 alpha=90.00 beta=90.00 gamma=90.00
Fractional positions:
Ta: 0.0000 0.0000 0.0000
In: 0.5000 0.5000 0.7870
Te: 0.0000 0.0000 0.5686
Te: 0.5000 0.5000 0.1994

Properties
Space-group type: No. 99
Uncorrected formation energy, eV/f.u.: 0.297

=====

# 6
Computed, not measured: a relaxed KCrTe2 crystal at the PBEsol level of DFT.

Unit cell a=4.6120 b=7.1783 c=7.1783 alpha=35.23 beta=90.00 gamma=90.00
Fractional positions:
K: 0.0000 0.0000 0.0000
Cr: 0.5000 0.7818 0.7818
Te: 0.0000 0.7008 0.7008
Te: 0.5000 0.3846 0.3846

Properties
Space-group type: No. 38
Uncorrected formation energy, eV/f.u.: -1.055

=====

# 7
Computed, not measured: a relaxed Sc3TlW crystal at the PBEsol level of DFT.

Unit cell a=5.1775 b=5.1775 c=5.1775 alpha=90.00 beta=90.00 gamma=90.00
Fractional positions:
Sc: 0.0000 0.0000 0.5000
Sc: 0.0000 0.5000 0.0000
Sc: 0.5000 0.0000 0.0000
Tl: 0.0000 0.0000 0.0000
W: 0.5000 0.5000 0.5000

Properties
Space-group type: No. 221
Formation energy, eV per atom: 1.451

=====

# 8
Computed, not measured: a relaxed Na3LiSb crystal at the PBEsol level of DFT.

Unit cell a=5.8782 b=5.8782 c=5.8782 alpha=90.00 beta=90.00 gamma=90.00
Fractional positions:
Na: 0.0000 0.0000 0.5000
Na: 0.0000 0.5000 0.0000
Na: 0.5000 0.0000 0.0000
Li: 0.5000 0.5000 0.5000
Sb: 0.0000 0.0000 0.0000

Properties
Space-group type: No. 221
Uncorrected formation energy, eV/f.u.: -0.109

=====

# 9
Computed, not measured: a relaxed Cd2In crystal at the PBEsol level of DFT.

Unit cell a=6.9818 b=6.9818 c=6.9818 alpha=153.63 beta=153.63 gamma=37.63
Fractional positions:
Cd: 0.1723 0.1723 0.0000
Cd: 0.8277 0.8277 0.0000
In: 0.5000 0.5000 0.0000

Properties
Space-group type: No. 139
Formation energy, eV per atom: 0.022

=====

# 10
Computed, not measured: a relaxed ZnPt2Rh crystal at the PBEsol level of DFT.

Unit cell a=2.7449 b=2.7449 c=7.4862 alpha=90.00 beta=90.00 gamma=90.00
Fractional positions:
Zn: 0.0000 0.0000 0.0000
Pt: 0.0000 0.0000 0.5120
Pt: 0.5000 0.5000 0.2419
Rh: 0.5000 0.5000 0.7628

Properties
Space-group type: No. 99
Formation energy, eV per atom: -0.201

=====

# 11
Computed, not measured: a relaxed Na2ReAs crystal at the PBEsol level of DFT.

Unit cell a=7.4218 b=7.4218 c=7.4218 alpha=95.70 beta=95.70 gamma=143.26
Fractional positions:
Na: 0.3750 0.0020 0.1270
Na: 0.7520 0.6250 0.6270
Na: 0.8750 0.2480 0.8730
Na: 0.9980 0.1250 0.3730
Re: 0.2500 0.7500 0.5000
Re: 0.5000 0.5000 0.0000
As: 0.0000 0.0000 0.0000
As: 0.7500 0.2500 0.5000

Properties
Space-group type: No. 122
Formation energy, eV per atom: 0.866

=====

# 12
Computed, not measured: a relaxed TaPt2 crystal at the PBEsol level of DFT.

Unit cell a=4.4752 b=4.4752 c=2.7211 alpha=90.00 beta=90.00 gamma=120.00
Fractional positions:
Ta: 0.0000 0.0000 0.0000
Pt: 0.3333 0.6667 0.5000
Pt: 0.6667 0.3333 0.5000

Properties
Space-group type: No. 191
Formation energy, eV per atom: -0.509